Arrangement 1

SmB4Pt: optimized geometry, PBE-GGA.

Cell: 5.0861 5.0861 5.0861 Å, 143.78 117.29 74.62°
Closest atoms and distances in Å follow each position.
Atoms (fractional coordinates):
Sm (0.0000, 0.0000, 0.0000)  12 B 2.68-2.71
B (0.0634, 0.7407, 0.3228)  3 B 1.77-1.88
B (0.4179, 0.7407, 0.6772)  3 B 1.77-1.88
B (0.5821, 0.2593, 0.3228)  3 B 1.77-1.88
B (0.9366, 0.2593, 0.6772)  3 B 1.77-1.88
Pt (0.5000, 0.5000, 0.0000)  12 B 2.59-2.79

Calculated values
SG ... No. 71
Size of the total moment ... 0.0 μB per formula unit
Crystal system ... orthorhombic



Arrangement 2

SmB4Pt: optimized geometry, PBE-GGA.

Cell: 3.2772 3.2772 6.9820 Å, 90.00 90.00 120.00°
Closest atoms and distances in Å follow each position.
Atoms (fractional coordinates):
Sm (0.0000, 0.0000, 0.0000)  12 B 2.71
B (0.3333, 0.6667, 0.2784)  3 B 1.89
B (0.3333, 0.6667, 0.7216)  3 B 1.89
B (0.6667, 0.3333, 0.2784)  3 B 1.89
B (0.6667, 0.3333, 0.7216)  3 B 1.89
Pt (0.0000, 0.0000, 0.5000)  12 B 2.44

Calculated values
SG ... No. 191
Size of the total moment ... 0.0 μB per formula unit
Crystal system ... hexagonal



Ranking the structures above by energy, arrangement 1 is first and the second is 8 meV/atom behind.